DFT (GGA-PBE) results for a geometry-optimized Tb2PrCr2C4 structure.

Cell lengths 8.289, 8.289, 5.382 Å; angles 96.53, 96.53, 24.32 degrees
Element x y z (fractional)
Tb: 0.159 0.159 0.080
Tb: 0.841 0.841 0.920
Pr: 0.000 0.000 0.500
Cr: 0.309 0.309 0.448
Cr: 0.691 0.691 0.552
C: 0.228 0.228 0.698
C: 0.402 0.402 0.653
C: 0.598 0.598 0.347
C: 0.772 0.772 0.302

Properties
Its calculated formation energy is -0.059 eV/atom. The value obtained for the total magnetization is 0.0 μB per cell. Its symmetry is C2/m, No. 12. As for the total energy: -70.7 eV for the cell shown.